VCrO5 | GGA+U | relaxed

a = 7.3191 Å, b = 6.7062 Å, c = 7.9999 Å
α = 90.00°, β = 90.00°, γ = 90.00°
Fractional coordinates of all 28 atoms:
V1 0.1550 0.2500 0.2351
V2 0.3450 0.7500 0.7351
V3 0.6550 0.2500 0.2649
V4 0.8450 0.7500 0.7649
Cr1 0.1250 0.7500 0.1191
Cr2 0.3750 0.2500 0.6191
Cr3 0.6250 0.7500 0.3809
Cr4 0.8750 0.2500 0.8809
O1 0.0622 0.2500 0.0003
O2 0.1161 0.7500 0.6998
O3 0.1293 0.5475 0.2410
O4 0.1293 0.9525 0.2410
O5 0.2014 0.2500 0.4870
O6 0.2986 0.7500 0.9870
O7 0.3707 0.0475 0.7410
O8 0.3707 0.4525 0.7410
O9 0.3839 0.2500 0.1998
O10 0.4378 0.7500 0.5003
O11 0.5622 0.2500 0.4997
O12 0.6161 0.7500 0.8002
O13 0.6293 0.5475 0.2590
O14 0.6293 0.9525 0.2590
O15 0.7014 0.2500 0.0130
O16 0.7986 0.7500 0.5130
O17 0.8707 0.0475 0.7590
O18 0.8707 0.4525 0.7590
O19 0.8839 0.2500 0.3002
O20 0.9378 0.7500 0.9997

## Properties
Calculated total energy: -7.1477 eV/atom
Crystal system: orthorhombic

=====

Pm2MnCu2O6 | GGA+U | relaxed

a = 5.9430 Å, b = 5.9430 Å, c = 5.9430 Å
α = 58.46°, β = 58.46°, γ = 58.46°
Fractional coordinates of all 11 atoms:
Pm1 0.2112 0.2112 0.2112
Pm2 0.7888 0.7888 0.7888
Mn1 0.0000 0.0000 0.0000
Cu1 0.4135 0.4135 0.4135
Cu2 0.5865 0.5865 0.5865
O1 0.2038 0.7652 0.7652
O2 0.2348 0.2348 0.7962
O3 0.2348 0.7962 0.2348
O4 0.7652 0.2038 0.7652
O5 0.7652 0.7652 0.2038
O6 0.7962 0.2348 0.2348

## Properties
Calculated total energy: -6.7553 eV/atom
Crystal system: trigonal
DOS at the Fermi energy: 3.23 states/eV per cell

=====

Number 1: spin magnetization 4.00 Bohr magnetons per cell. Number 2: spin magnetization 2.93 Bohr magnetons per cell.